No. 1
A plane-wave DFT calculation with PBE was carried out for an optimized crystal structure of Mg2CuSe.

Results
* formation energy from raw total energies: -247 meV/atom
* space group: I-4m2
* VASP energy: -2.939 eV per atom

POSCAR file:
```
Mg2CuSe
1.0
6.190 0.073 0.000
3.859 4.841 0.000
-5.025 -2.457 2.654
Mg Cu Se
2 1 1
direct
0.250 0.750 0.500
0.000 0.000 0.000
0.750 0.250 0.500
0.500 0.500 0.000
```

---

No. 2
A plane-wave DFT calculation with PBE was carried out for an optimized crystal structure of La8Os2Rh.

Results
* E_form: -0.23 eV per atom
* space group: C2/m
* VASP energy: -6.522 eV per atom

POSCAR file:
```
La8Os2Rh
1.0
3.973 0.000 -0.844
-0.140 9.021 -0.659
0.011 0.025 9.825
La Rh Os
8 1 2
direct
0.775 0.664 0.549
0.655 0.959 0.309
0.602 0.538 0.204
0.345 0.041 0.691
0.997 0.788 0.994
0.398 0.462 0.796
0.225 0.336 0.451
0.003 0.212 0.006
0.500 0.000 0.000
0.163 0.724 0.326
0.837 0.276 0.674
```

---

No. 3
A plane-wave DFT calculation with PBE was carried out for an optimized crystal structure of ZnF2.

Results
* formation energy from raw total energies: -2242 meV/atom
* space group: P-3m1
* VASP energy: -3.914 eV per atom

POSCAR file:
```
ZnF2
1.0
3.186 0.006 -0.007
1.588 2.762 -0.016
0.011 0.024 4.546
Zn F
1 2
direct
0.500 0.000 0.500
0.167 0.666 0.714
0.833 0.334 0.286
```

---

No. 4
A plane-wave DFT calculation with PBE was carried out for an optimized crystal structure of NaTiZn4.

Results
* E_form: 0.06 eV per atom
* space group: F-43m
* VASP energy: -2.320 eV per atom

POSCAR file:
```
NaTiZn4
1.0
5.198 0.000 0.000
2.599 4.502 0.000
2.599 1.501 4.245
Zn Na Ti
4 1 1
direct
0.626 0.626 0.121
0.626 0.121 0.626
0.121 0.626 0.626
0.626 0.626 0.626
0.250 0.250 0.250
0.000 0.000 0.000
```

---

No. 5
A plane-wave DFT calculation with PBE was carried out for an optimized crystal structure of YAs2Pt.

Results
* E_form: -0.43 eV per atom
* space group: I4/mmm
* VASP energy: -5.876 eV per atom

POSCAR file:
```
YAs2Pt
1.0
5.718 0.029 0.000
2.819 4.974 0.000
-4.269 -2.502 2.866
As Pt Y
2 1 1
direct
0.000 0.000 0.000
0.500 0.500 0.000
0.250 0.750 0.500
0.750 0.250 0.500
```

---

No. 6
A plane-wave DFT calculation with PBE was carried out for an optimized crystal structure of KLaInTe3.

Results
* formation energy from raw total energies: -988 meV/atom
* space group: P2_1/m
* VASP energy: -4.019 eV per atom

POSCAR file:
```
KLaInTe3
1.0
-2.678 2.315 3.781
-1.957 -8.216 3.644
9.079 2.927 4.638
Te La In K
6 2 2 2
direct
0.250 0.085 0.864
0.750 0.225 0.535
0.250 0.775 0.465
0.750 0.471 0.166
0.750 0.915 0.136
0.250 0.529 0.834
0.250 0.684 0.136
0.750 0.316 0.864
0.250 0.117 0.597
0.750 0.883 0.403
0.750 0.781 0.763
0.250 0.219 0.237
```

---

No. 7
A plane-wave DFT calculation with PBE was carried out for an optimized crystal structure of BaLiAsO4.

Results
* formation energy from raw total energies: -2047 meV/atom
* space group: I-4
* VASP energy: -6.093 eV per atom

POSCAR file:
```
BaLiAsO4
1.0
5.688 0.000 0.000
0.000 5.688 0.000
-2.844 -2.844 3.916
O Ba Li As
4 1 1 1
direct
0.245 0.092 0.739
0.908 0.506 0.261
0.494 0.647 0.739
0.353 0.755 0.261
0.000 0.000 0.000
0.500 0.500 0.000
0.250 0.750 0.500
```

---

No. 8
A plane-wave DFT calculation with PBE was carried out for an optimized crystal structure of Sm2Re2C3.

Results
* E_form: -0.25 eV per atom
* space group: C2/m
* VASP energy: -9.105 eV per atom

POSCAR file:
```
Sm2Re2C3
1.0
3.378 0.000 0.000
0.000 5.772 -0.574
-1.689 -2.041 5.642
C Sm Re
3 2 2
direct
0.750 0.273 0.499
0.250 0.727 0.501
0.000 0.000 0.000
0.607 0.813 0.214
0.393 0.187 0.786
0.841 0.681 0.682
0.159 0.319 0.318
```

---

Repeat the fifth record exactly.
A plane-wave DFT calculation with PBE was carried out for an optimized crystal structure of YAs2Pt.

Results
* E_form: -0.43 eV per atom
* space group: I4/mmm
* VASP energy: -5.876 eV per atom

POSCAR file:
```
YAs2Pt
1.0
5.718 0.029 0.000
2.819 4.974 0.000
-4.269 -2.502 2.866
As Pt Y
2 1 1
direct
0.000 0.000 0.000
0.500 0.500 0.000
0.250 0.750 0.500
0.750 0.250 0.500
```